# 1
VASP calculation (PBE-GGA) on a relaxed Cu2Os crystal.

Values from the calculation:
E = -34.55 eV per cell
Fermi-level density of states = 1.025 states/eV/atom
energy of formation = 0.72 eV per atom
space group = P6_3/mmc, No. 194
distance to the lowest polymorph of the same formula = 48.9 kJ per mole of atoms

Unit cell a=4.2436 b=4.2436 c=5.0817 alpha=90.00 beta=90.00 gamma=120.00
Last column: nearest neighbours and their distance in Å.
Atoms (fractional coordinates):
Cu (0.0000, 0.0000, 0.0000)  8 Cu 2.54-2.76, 6 Os 2.76
Cu (0.0000, 0.0000, 0.5000)  8 Cu 2.54-2.76, 6 Os 2.76
Cu (0.3333, 0.6667, 0.2500)  5 Os 2.45-2.54
Cu (0.6667, 0.3333, 0.7500)  5 Os 2.45-2.54
Os (0.3333, 0.6667, 0.7500)  5 Cu 2.45-2.54
Os (0.6667, 0.3333, 0.2500)  5 Cu 2.45-2.54


# 2
VASP calculation (PBE-GGA) on a relaxed CuOs crystal.

Values from the calculation:
E = -29.34 eV per cell
Fermi-level density of states = 0.737 states/eV/atom
energy of formation = 0.33 eV per atom
space group = Cmcm, No. 63
distance to the lowest polymorph of the same formula = 12.2 kJ per mole of atoms

Unit cell a=5.2292 b=5.2292 c=3.9779 alpha=90.00 beta=90.00 gamma=150.44
Last column: nearest neighbours and their distance in Å.
Atoms (fractional coordinates):
Cu (0.0580, 0.9420, 0.7500)  2 Cu 2.31, 1 Os 2.52
Cu (0.9420, 0.0580, 0.2500)  2 Cu 2.31, 1 Os 2.52
Os (0.3073, 0.6927, 0.7500)  5 Cu 2.52-2.76, 6 Os 2.66-2.67
Os (0.6927, 0.3073, 0.2500)  5 Cu 2.52-2.76, 6 Os 2.66-2.67


Q: Look up the E of the first one.
A: -34.55 eV per cell